Fe2SiTc: optimized geometry, GGA-PBE.

Values from the calculation:
* formation energy (no corrections): -0.0269 eV per atom
* E: -32.8 eV/cell
* DOS(E_F): 4.6 states/eV/cell

Geometry as extended XYZ:
```
4
Lattice="-0.846 -5.251 -6.084 1.117 -6.427 -4.771 -1.388 -6.850 -4.057" Properties=species:S:1:pos:R:3 pbc="T T T"
Fe -0.564 -9.353 -7.528
Fe -1.111 -18.438 -14.840
Si -0.279 -4.632 -3.728
Tc -0.838 -13.895 -11.184
```